Crystalline CaZr2V2 at its relaxed geometry. Source: Alexandria, functional PBE-GGA.

Cell: 7.9280 7.9280 3.3982 Å, 90.00 90.00 90.00°
Fractional positions:
Ca  0.0000  0.0000  0.0000
Ca  0.5000  0.5000  0.0000
Zr  0.1726  0.3274  0.5000
Zr  0.3274  0.8274  0.5000
Zr  0.6726  0.1726  0.5000
Zr  0.8274  0.6726  0.5000
V  0.1091  0.6091  0.0000
V  0.3909  0.1091  0.0000
V  0.6091  0.8909  0.0000
V  0.8909  0.3909  0.0000

Output
Magnetization = 0.000 μB/atom
SG = P4/mbm
Energy of formation = 0.363 eV/atom



Crystalline CaZrV2 at its relaxed geometry. Source: Alexandria, functional PBE-GGA.

Cell: 4.9414 4.9414 4.9414 Å, 60.00 60.00 60.00°
Fractional positions:
Ca  0.0000  0.0000  0.0000
Zr  0.5000  0.5000  0.5000
V  0.2500  0.2500  0.2500
V  0.7500  0.7500  0.7500

Output
Magnetization = 1.535 μB/atom
SG = Fm-3m
Energy of formation = 0.688 eV/atom



Crystalline CaZr3V at its relaxed geometry. Source: Alexandria, functional PBE-GGA.

Cell: 5.0422 5.0422 5.0422 Å, 90.00 90.00 90.00°
Fractional positions:
Ca  0.0000  0.0000  0.0000
Zr  0.0000  0.0000  0.5000
Zr  0.0000  0.5000  0.0000
Zr  0.5000  0.0000  0.0000
V  0.5000  0.5000  0.5000

Output
Magnetization = 0.764 μB/atom
SG = Pm-3m
Energy of formation = 1.849 eV/atom



Crystalline Ca2Zr2V at its relaxed geometry. Source: Alexandria, functional PBE-GGA.

Cell: 10.1314 10.1314 10.1314 Å, 157.53 157.53 31.99°
Fractional positions:
Ca  0.0938  0.0938  0.0000
Ca  0.9062  0.9062  0.0000
Zr  0.2500  0.7500  0.5000
Zr  0.7500  0.2500  0.5000
V  0.5000  0.5000  0.0000

Output
Magnetization = 0.837 μB/atom
SG = I4/mmm
Energy of formation = 0.785 eV/atom